1.
DFT (PBE-GGA) results for a relaxed structure of Hf2AlSbPd2.

```
12
Lattice="-3.1275 3.1275 6.2566 3.1275 -3.1275 6.2566 3.1275 3.1275 -6.2566" Properties=species:S:1:pos:R:3 pbc="T T T"
Hf 0.0000 0.0000 3.0710
Hf 0.0000 3.1275 0.0573
Hf 0.0000 0.0000 9.4422
Hf 0.0000 3.1275 6.1993
Al 0.0000 0.0000 0.0000
Al 0.0000 3.1275 3.1283
Sb 3.1275 0.0000 3.1283
Sb 0.0000 0.0000 6.2566
Pd 1.5637 1.5145 -1.5642
Pd 1.6130 -1.5637 7.8208
Pd 1.5637 1.6130 4.6925
Pd 1.5145 4.6912 1.5642
```

Properties
Final energy in eV per atom: -7.063
Space-group type: I-42d, No. 122

***

2.
DFT (PBE-GGA) results for a relaxed structure of TbYAsO.

```
8
Lattice="4.1614 0.0000 0.0000 0.0000 7.7020 0.0000 0.0000 0.0000 5.8747" Properties=species:S:1:pos:R:3 pbc="T T T"
Tb 0.0000 0.8726 0.0000
Tb 0.0000 6.8294 2.9373
Y 2.0807 2.2461 3.3521
Y 2.0807 5.4559 0.4148
As 2.0807 2.6250 0.4615
As 2.0807 5.0770 3.3989
O 0.0000 1.3296 3.6858
O 0.0000 6.3724 0.7485
```

Properties
Final energy in eV per atom: -7.137
Energy above the lowest structure with this stoichiometry in eV/atom: 0.007
Space-group type: Pmc2_1, No. 26

***

3.
DFT (PBE-GGA) results for a relaxed structure of TbDyCN2O2.

```
7
Lattice="3.7166 0.0000 0.0000 -1.8583 3.2187 0.0000 0.0000 0.0000 8.1486" Properties=species:S:1:pos:R:3 pbc="T T T"
Tb 0.0000 0.0000 0.0000
Dy 1.8583 1.0729 5.2559
C 0.0000 2.1458 2.6303
N 0.0000 2.1458 1.3942
N 0.0000 2.1458 3.8638
O 0.0000 0.0000 5.8516
O 1.8583 1.0729 7.5314
```

Properties
Final energy in eV per atom: -8.616
Space-group type: P3m1, No. 156

***

4.
DFT (PBE-GGA) results for a relaxed structure of TcSnPd2.

```
4
Lattice="0.0000 3.1939 3.1939 3.1939 0.0000 3.1939 3.1939 3.1939 0.0000" Properties=species:S:1:pos:R:3 pbc="T T T"
Tc 0.0000 0.0000 0.0000
Sn 4.7909 4.7909 4.7909
Pd 1.5970 1.5970 1.5970
Pd 3.1939 3.1939 3.1939
```

Properties
Final energy in eV per atom: -6.235
Space-group type: F-43m, No. 216

***

5.
DFT (PBE-GGA) results for a relaxed structure of BaUBe.

```
3
Lattice="0.0000 3.4375 3.4375 3.4375 0.0000 3.4375 3.4375 3.4375 0.0000" Properties=species:S:1:pos:R:3 pbc="T T T"
Ba 0.0000 0.0000 0.0000
U 1.7187 1.7187 1.7187
Be 5.1562 5.1562 5.1562
```

Properties
Final energy in eV per atom: -3.938
Energy above the lowest structure with this stoichiometry in eV/atom: 0.416
Space-group type: F-43m, No. 216

***

6.
DFT (PBE-GGA) results for a relaxed structure of PdSe4S2Br2.

```
9
Lattice="4.7951 0.0000 0.0000 1.0044 7.4692 0.0000 0.4287 3.1451 7.3319" Properties=species:S:1:pos:R:3 pbc="T T T"
Pd 0.0000 0.0000 0.0000
Se 1.0976 6.3420 5.5056
Se 1.5995 6.3748 2.0910
Se 4.6286 4.2395 5.2409
Se 5.1305 4.2722 1.8263
S 1.0885 3.2448 3.6157
S 5.1395 7.3695 3.7162
Br 2.9693 8.9276 6.3652
Br 3.2588 1.6866 0.9667
```

Properties
Final energy in eV per atom: -3.522
Energy above the lowest structure with this stoichiometry in eV/atom: 0.000
Space-group type: P-1, No. 2

***

7.
DFT (PBE-GGA) results for a relaxed structure of LuSc2.

```
6
Lattice="0.0000 4.3158 4.3158 4.3158 0.0000 4.3158 4.3158 4.3158 0.0000" Properties=species:S:1:pos:R:3 pbc="T T T"
Lu 1.0789 1.0789 1.0789
Lu 7.5526 7.5526 7.5526
Sc 4.3158 2.1579 2.1579
Sc 2.1579 4.3158 2.1579
Sc 2.1579 2.1579 4.3158
Sc 4.3158 4.3158 4.3158
```

Properties
Energy of formation in kJ/mol of atoms: 22
Final energy in eV per atom: -5.503
Energy above the lowest structure with this stoichiometry in eV/atom: 0.004
Space-group type: Fd-3m, No. 227

***

8.
DFT (PBE-GGA) results for a relaxed structure of ZrZn.

```
4
Lattice="3.6385 0.0000 0.0000 0.0000 4.4422 0.0000 0.0000 0.0000 4.4224" Properties=species:S:1:pos:R:3 pbc="T T T"
Zr 0.9096 1.1106 0.0094
Zr 2.7289 3.3317 4.4130
Zn 0.9096 3.3317 2.2070
Zn 2.7289 1.1106 2.2154
```

Properties
Energy of formation in kJ/mol of atoms: -10
Final energy in eV per atom: -5.006
Space-group type: Pmmn, No. 59

***

9.
DFT (PBE-GGA) results for a relaxed structure of CdInSn2.

```
4
Lattice="0.0000 3.7746 3.7746 3.7746 0.0000 3.7746 3.7746 3.7746 0.0000" Properties=species:S:1:pos:R:3 pbc="T T T"
Cd 0.0000 0.0000 0.0000
In 5.6619 5.6619 5.6619
Sn 1.8873 1.8873 1.8873
Sn 3.7746 3.7746 3.7746
```

Properties
Final energy in eV per atom: -2.852
Space-group type: F-43m, No. 216

***

10.
DFT (PBE-GGA) results for a relaxed structure of CsHfZn.

```
3
Lattice="0.0000 3.6121 3.6121 3.6121 0.0000 3.6121 3.6121 3.6121 0.0000" Properties=species:S:1:pos:R:3 pbc="T T T"
Cs 0.0000 0.0000 0.0000
Hf 1.8060 1.8060 1.8060
Zn 3.6121 3.6121 3.6121
```

Properties
Final energy in eV per atom: -2.637
Energy above the lowest structure with this stoichiometry in eV/atom: 0.000
Space-group type: F-43m, No. 216

***

11.
DFT (PBE-GGA) results for a relaxed structure of NaSnHg3S4.

```
18
Lattice="7.0502 0.0000 0.0000 0.0000 7.9321 0.0000 -2.6609 0.0000 9.1945" Properties=species:S:1:pos:R:3 pbc="T T T"
Na 0.6539 1.9830 3.1854
Na 3.7353 5.9491 6.0091
Sn 0.1410 1.9830 7.2863
Sn 4.2482 5.9491 1.9083
Hg 0.7988 5.9491 3.2074
Hg 1.7268 0.1492 0.0791
Hg 1.7268 3.8169 0.0791
Hg 2.6625 4.1153 9.1154
Hg 2.6625 7.7829 9.1154
Hg 3.5904 1.9830 5.9871
S -2.2489 5.9491 8.5724
S -1.1863 1.9830 5.2359
S 2.5309 4.1486 2.6059
S 2.5309 7.7496 2.6059
S 1.8584 0.1825 6.5886
S 1.8584 3.7836 6.5886
S 5.5755 5.9491 3.9586
S 6.6382 1.9830 0.6221
```

Properties
Final energy in eV per atom: -2.756
Energy above the lowest structure with this stoichiometry in eV/atom: 0.000
Space-group type: P2_1/m, No. 11

***

12.
DFT (PBE-GGA) results for a relaxed structure of ErReB.

```
3
Lattice="0.0000 3.0954 3.0954 3.0954 0.0000 3.0954 3.0954 3.0954 0.0000" Properties=species:S:1:pos:R:3 pbc="T T T"
Er 0.0000 0.0000 0.0000
Re 1.5477 1.5477 1.5477
B 4.6431 4.6431 4.6431
```

Properties
Final energy in eV per atom: -5.873
Energy above the lowest structure with this stoichiometry in eV/atom: 1.717
Space-group type: F-43m, No. 216

***

13.
DFT (PBE-GGA) results for a relaxed structure of Nb4Cd3Mo2C3.

```
24
Lattice="4.7388 -2.7377 0.0000 4.7388 2.7377 0.0000 -3.1761 0.0000 14.4302" Properties=species:S:1:pos:R:3 pbc="T T T"
Nb 0.7872 0.4554 1.1925
Nb 0.7827 0.4573 6.0235
Nb -0.8009 -0.4554 8.4076
Nb -0.8053 -0.4573 13.2386
Nb 7.1068 0.4573 1.1916
Nb 7.1024 0.4554 6.0226
Nb 5.5188 -0.4573 8.4067
Nb 5.5143 -0.4554 13.2377
Cd 3.9448 2.1893 3.6076
Cd 0.8522 0.4160 10.8183
Cd 2.4403 -0.4160 3.6031
Cd 3.8612 0.4160 10.8271
Cd 5.4493 -0.4160 3.6120
Cd 2.3567 -2.1893 10.8227
Mo 3.9470 0.4578 1.0811
Mo 3.9426 0.4578 6.1340
Mo 2.3589 -0.4578 8.2962
Mo 2.3545 -0.4578 13.3491
C 2.3694 1.3688 0.0000
C 2.3586 1.3720 7.2151
C 5.5309 1.3720 0.0000
C 0.7813 -1.3688 7.2151
C 3.9467 -1.3720 0.0000
C 3.9429 -1.3720 7.2151
```

Properties
Final energy in eV per atom: -7.921
Space-group type: C2/c, No. 15

***

14.
DFT (PBE-GGA) results for a relaxed structure of PmNiB.

```
3
Lattice="0.0000 2.9494 2.9494 2.9494 0.0000 2.9494 2.9494 2.9494 0.0000" Properties=species:S:1:pos:R:3 pbc="T T T"
Pm 0.0000 0.0000 0.0000
Ni 2.9494 2.9494 2.9494
B 4.4241 4.4241 4.4241
```

Properties
Final energy in eV per atom: -5.455
Energy above the lowest structure with this stoichiometry in eV/atom: 0.000
Space-group type: F-43m, No. 216

***

15.
DFT (PBE-GGA) results for a relaxed structure of TbTlSn.

```
3
Lattice="0.0000 3.6511 3.6511 3.6511 0.0000 3.6511 3.6511 3.6511 0.0000" Properties=species:S:1:pos:R:3 pbc="T T T"
Tb 0.0000 0.0000 0.0000
Tl 3.6511 3.6511 3.6511
Sn 1.8255 1.8255 1.8255
```

Properties
Final energy in eV per atom: -3.739
Energy above the lowest structure with this stoichiometry in eV/atom: 0.000
Space-group type: F-43m, No. 216

***

16.
DFT (PBE-GGA) results for a relaxed structure of GdScCuSe3.

```
12
Lattice="1.9370 -6.5238 0.0000 1.9370 6.5238 0.0000 0.0000 0.0000 10.0430" Properties=species:S:1:pos:R:3 pbc="T T T"
Gd 1.9370 3.5187 7.5323
Gd 1.9370 -3.5187 2.5108
Sc 0.0000 0.0000 0.0000
Sc 0.0000 0.0000 5.0215
Cu 1.9370 0.3092 2.5108
Cu 1.9370 -0.3092 7.5323
Se 1.9370 5.2915 2.5108
Se 1.9370 1.8627 0.6326
Se 1.9370 1.8627 4.3889
Se 1.9370 -1.8627 5.6542
Se 1.9370 -1.8627 9.4104
Se 1.9370 -5.2915 7.5323
```

Properties
Final energy in eV per atom: -5.528
Space-group type: Cmcm, No. 63

***

17.
DFT (PBE-GGA) results for a relaxed structure of Li4MgGaAu2.

```
8
Lattice="4.4624 0.0000 0.0000 0.0000 4.4624 0.0000 0.0000 0.0000 6.3293" Properties=species:S:1:pos:R:3 pbc="T T T"
Li 0.0000 0.0000 0.0000
Li 0.0000 2.2312 4.6422
Li 2.2312 0.0000 1.6871
Li 2.2312 2.2312 3.1646
Mg 2.2312 2.2312 0.0000
Ga 0.0000 0.0000 3.1646
Au 0.0000 2.2312 1.6454
Au 2.2312 0.0000 4.6838
```

Properties
Final energy in eV per atom: -2.820
Space-group type: P-4m2, No. 115

***

18.
DFT (PBE-GGA) results for a relaxed structure of USn.

```
2
Lattice="0.0000 3.4892 3.4892 3.4892 0.0000 3.4892 3.4892 3.4892 0.0000" Properties=species:S:1:pos:R:3 pbc="T T T"
U 0.0000 0.0000 0.0000
Sn 1.7446 1.7446 1.7446
```

Properties
Final energy in eV per atom: -6.314
Space-group type: F-43m, No. 216

***

19.
DFT (PBE-GGA) results for a relaxed structure of TbHoIn4Ni2.

```
8
Lattice="7.4210 0.0000 0.0000 0.0000 2.1610 5.2265 0.0000 -2.1610 5.2265" Properties=species:S:1:pos:R:3 pbc="T T T"
Tb 0.0000 0.0000 0.0000
Ho 3.7105 0.0000 9.0471
In 1.4898 0.0000 3.0250
In 2.2287 0.0000 6.0246
In 5.1923 0.0000 6.0246
In 5.9312 0.0000 3.0250
Ni 0.0000 0.0000 7.4962
Ni 3.7105 0.0000 1.5451
```

Properties
Final energy in eV per atom: -4.354
Space-group type: Amm2, No. 38

***

20.
DFT (PBE-GGA) results for a relaxed structure of TmPPdO.

```
8
Lattice="3.4975 0.0000 0.0000 0.0000 7.5590 0.0000 0.0000 0.0000 5.4485" Properties=species:S:1:pos:R:3 pbc="T T T"
Tm 0.0000 1.7166 0.0000
Tm 0.0000 5.8424 2.7243
P 0.0000 3.0920 2.7216
P 0.0000 4.4670 5.4459
Pd 1.7487 1.6228 2.7359
Pd 1.7487 5.9362 0.0117
O 1.7487 0.6358 0.0862
O 1.7487 6.9231 2.8104
```

Properties
Final energy in eV per atom: -6.404
Energy above the lowest structure with this stoichiometry in eV/atom: 0.478
Space-group type: Pmc2_1, No. 26

***

21.
DFT (PBE-GGA) results for a relaxed structure of KHfCd.

```
3
Lattice="0.0000 3.6129 3.6129 3.6129 0.0000 3.6129 3.6129 3.6129 0.0000" Properties=species:S:1:pos:R:3 pbc="T T T"
K 0.0000 0.0000 0.0000
Hf 1.8065 1.8065 1.8065
Cd 5.4194 5.4194 5.4194
```

Properties
Final energy in eV per atom: -2.356
Energy above the lowest structure with this stoichiometry in eV/atom: 0.496
Space-group type: F-43m, No. 216

***

22.
DFT (PBE-GGA) results for a relaxed structure of Nd2Co7.

```
36
Lattice="5.0178 0.0000 0.0000 -2.5089 4.3455 0.0000 0.0000 0.0000 24.3837" Properties=species:S:1:pos:R:3 pbc="T T T"
Nd 0.0000 2.8970 0.6713
Nd 0.0000 2.8970 4.2178
Nd 0.0000 2.8970 7.9740
Nd 0.0000 2.8970 11.5205
Nd 2.5089 1.4485 12.8632
Nd 2.5089 1.4485 16.4097
Nd 2.5089 1.4485 20.1658
Nd 2.5089 1.4485 23.7123
Co 0.0000 0.0000 0.0000
Co 0.0000 0.0000 4.1142
Co 0.0000 0.0000 8.0777
Co 0.0000 0.0000 12.1918
Co 0.0000 0.0000 16.3060
Co 0.0000 0.0000 20.2695
Co 0.0000 1.4363 14.3436
Co 0.0000 1.4363 22.2319
Co -1.2650 3.6273 14.3436
Co -1.2650 3.6273 22.2319
Co 0.0000 1.4453 18.2878
Co -1.2572 3.6228 18.2878
Co 1.2439 0.7182 2.1518
Co 1.2439 0.7182 10.0401
Co 1.2517 0.7227 6.0959
Co 0.0000 2.8970 16.3003
Co 0.0000 2.8970 20.2752
Co 2.5089 1.4485 4.1085
Co 2.5089 1.4485 8.0833
Co 1.2572 3.6228 18.2878
Co 1.2650 3.6273 14.3436
Co 1.2650 3.6273 22.2319
Co 3.7661 0.7227 6.0959
Co 2.5089 2.9002 6.0959
Co 3.7738 0.7182 2.1518
Co 3.7738 0.7182 10.0401
Co 2.5089 2.9092 2.1518
Co 2.5089 2.9092 10.0401
```

Properties
Energy of formation in kJ/mol of atoms: -4
Final energy in eV per atom: -6.627
Space-group type: P6_3/mmc, No. 194

***

23.
DFT (PBE-GGA) results for a relaxed structure of Nd3Si4Pt2Au2.

```
11
Lattice="-2.1132 2.1338 12.4225 2.1132 -2.1338 12.4225 2.1132 2.1338 -12.4225" Properties=species:S:1:pos:R:3 pbc="T T T"
Nd 0.0000 0.0000 0.0000
Nd 2.1132 0.0000 8.7282
Nd 0.0000 2.1338 3.6943
Si 2.1132 0.0000 4.9148
Si 0.0000 0.0000 11.2334
Si 0.0000 0.0000 13.6116
Si 0.0000 2.1338 7.5077
Pt 0.0000 0.0000 6.1791
Pt 0.0000 0.0000 18.6660
Au 2.1132 0.0000 2.4283
Au 0.0000 2.1338 9.9942
```

Properties
Final energy in eV per atom: -5.893
Space-group type: Immm, No. 71

***

| no. | V (Å³/f.u.) |
| --- | --- |
| 1 | 122.39 |
| 2 | 94.15 |
| 3 | 97.48 |
| 4 | 65.16 |
| 5 | 81.23 |
| 6 | 262.59 |
| 7 | 80.38 |
| 8 | 35.74 |
| 9 | 107.56 |
| 10 | 94.26 |
| 11 | 257.09 |
| 12 | 59.32 |
| 13 | 187.21 |
| 14 | 51.31 |
| 15 | 97.34 |
| 16 | 126.91 |
| 17 | 126.03 |
| 18 | 84.96 |
| 19 | 167.64 |
| 20 | 72.02 |
| 21 | 94.32 |
| 22 | 132.92 |
| 23 | 224.06 |